# 1
First-principles (GGA-PBE) data for a relaxed structure of Mn5Tl, as listed in the Alexandria database.

POSCAR file:
```
Mn5Tl
1.0
-3.455 0.877 -4.306
0.056 -2.747 4.868
-1.430 3.136 1.786
Mn Tl
5 1
direct
0.811 0.189 0.000
0.000 0.000 0.500
0.311 0.689 0.500
0.689 0.311 0.500
0.189 0.811 0.000
0.500 0.500 0.000
```

Properties
Size of the total moment (μB/atom): 0.533
ΔE to the lowest computed polymorph (meV/atom): 0.0
Formation enthalpy at 0 K (eV/atom): 0.347
Calculated volume (Å³/atom): 13.3
SG: Cmmm (65)
N(E_F) (states/eV per cell): 6.5
Energy (eV per atom): -7.6882

# 2
First-principles (GGA-PBE) data for a relaxed structure of Cd2Ag6Sn, as listed in the Alexandria database.

POSCAR file:
```
Cd2Ag6Sn
1.0
-2.451 -0.340 4.360
2.639 -5.666 -0.235
5.831 0.912 2.072
Ag Cd Sn
6 2 1
direct
0.291 0.770 0.404
0.709 0.596 0.230
0.596 0.153 0.153
0.291 0.404 0.770
0.709 0.230 0.596
0.404 0.847 0.847
0.169 0.317 0.317
0.831 0.683 0.683
0.000 0.000 0.000
```

Properties
Size of the total moment (μB/atom): 0.000
ΔE to the lowest computed polymorph (meV/atom): 67.7
Formation enthalpy at 0 K (eV/atom): 0.045
Calculated volume (Å³/atom): 20.6
SG: C2/m (12)
N(E_F) (states/eV per cell): 1.4
Energy (eV per atom): -2.5042

# 3
First-principles (GGA-PBE) data for a relaxed structure of YHoCo4, as listed in the Alexandria database.

POSCAR file:
```
YHoCo4
1.0
-0.070 1.663 -4.790
-4.202 -0.497 -2.795
-2.731 4.094 -1.223
Ho Co Y
1 4 1
direct
0.250 0.250 0.250
0.625 0.625 0.625
0.625 0.625 0.126
0.126 0.625 0.625
0.625 0.126 0.625
0.000 0.000 0.000
```

Properties
Size of the total moment (μB/atom): 0.649
Formation enthalpy at 0 K (eV/atom): -0.199
Calculated volume (Å³/atom): 15.4
SG: F-43m (216)
N(E_F) (states/eV per cell): 8.6
Energy (eV per atom): -6.7770

N(E_F) of number 3 (YHoCo4)? 8.6 states/eV per cell